No. 1
# CsMnZnSe3

Crystalline CsMnZnSe3 at its relaxed geometry (PBE-GGA, the Alexandria database).

The calculation puts the calculated density at 4.6 g cm⁻³. The space group is No. 11. The formation energy (no corrections) comes out at -0.729 eV/atom.

abc: 3.8787 9.1633 10.7079
angles: 111.16 90.00 90.00
Last column: nearest neighbours and their distance in Å.
Positions (direct):
Zn 0.7500 0.9061 0.3920  4 Se 2.47-2.57
Mn 0.2500 0.6547 0.1196  5 Se 2.54-2.63
Zn 0.2500 0.0939 0.6080  4 Se 2.47-2.57
Se 0.2500 0.1539 0.8559  1 Zn 2.51, 2 Mn 2.56
Se 0.7500 0.4861 0.1424  3 Mn 2.54-2.63
Se 0.2500 0.5139 0.8576  3 Mn 2.54-2.63
Se 0.7500 0.2015 0.5276  3 Zn 2.47-2.57
Mn 0.7500 0.3453 0.8804  5 Se 2.54-2.63
Cs 0.2500 0.2213 0.2487  7 Se 3.60-4.03, 2 Cs 3.88
Se 0.7500 0.8461 0.1441  1 Zn 2.51, 2 Mn 2.56
Cs 0.7500 0.7787 0.7513  7 Se 3.60-4.03, 2 Cs 3.88
Se 0.2500 0.7985 0.4724  3 Zn 2.47-2.57

---

No. 2
# Ni2HgAu2

Crystalline Ni2HgAu2 at its relaxed geometry (PBE-GGA, the Alexandria database).

The calculation puts the calculated density at 13.5 g cm⁻³. The space group is No. 139. The distance to the lowest polymorph of the same formula is 3.55 kcal/mol of atoms. The formation enthalpy at 0 K comes out at 7.50 kcal/mol of atoms.

abc: 3.8427 3.8427 6.5158
angles: 72.85 72.85 90.00
Last column: nearest neighbours and their distance in Å.
Positions (direct):
Ni 0.5968 0.5968 0.8064  1 Ni 2.29
Ni 0.4032 0.4032 0.1936  1 Ni 2.29
Au 0.2500 0.7500 0.5000  4 Ni 2.64, 4 Au 2.72
Au 0.7500 0.2500 0.5000  4 Ni 2.64, 4 Au 2.72
Hg 0.0000 0.0000 0.0000  8 Ni 2.95

---

No. 3
# RbSrTeW2

Crystalline RbSrTeW2 at its relaxed geometry (PBE-GGA, the Alexandria database).

The calculation puts the calculated density at 4.6 g cm⁻³. The space group is No. 123. The formation energy (no corrections) comes out at 2.330 eV/atom. The distance to the lowest polymorph of the same formula is 0.00 kcal/mol of atoms.

abc: 6.2375 6.1975 6.2375
angles: 90.00 90.00 90.00
Last column: nearest neighbours and their distance in Å.
Positions (direct):
Sr 0.0000 0.0000 0.0000  2 Te 3.10, 4 W 3.12
W 0.5000 0.0000 0.0000  2 Sr 3.12
W 0.0000 0.0000 0.5000  2 Sr 3.12
Te 0.0000 0.5000 0.0000  2 Sr 3.10
Rb 0.5000 0.5000 0.5000  8 W 4.40, 4 Te 4.41

---

No. 4
# Si2Hg2Pb

Crystalline Si2Hg2Pb at its relaxed geometry (PBE-GGA, the Alexandria database).

The calculation puts the calculated density at 9.4 g cm⁻³. The space group is No. 127. The formation energy (no corrections) comes out at 0.403 eV/atom. The distance to the lowest polymorph of the same formula is 0.90 kcal/mol of atoms.

abc: 7.4803 7.4803 4.1849
angles: 90.00 90.00 90.00
Last column: nearest neighbours and their distance in Å.
Positions (direct):
Si 0.3881 0.8881 0.0000  1 Si 2.37
Hg 0.3139 0.1861 0.5000  6 Si 2.99-3.11
Si 0.1119 0.3881 0.0000  1 Si 2.37
Si 0.8881 0.6119 0.0000  1 Si 2.37
Hg 0.8139 0.3139 0.5000  6 Si 2.99-3.11
Si 0.6119 0.1119 0.0000  1 Si 2.37
Hg 0.1861 0.6861 0.5000  6 Si 2.99-3.11
Hg 0.6861 0.8139 0.5000  6 Si 2.99-3.11
Pb 0.5000 0.5000 0.0000  4 Si 3.02
Pb 0.0000 0.0000 0.0000  4 Si 3.02

---

No. 5
# LaHg2

Crystalline LaHg2 at its relaxed geometry (PBE-GGA, the Alexandria database).

The calculation puts the calculated density at 9.0 g cm⁻³. The space group is No. 225. The formation enthalpy at 0 K comes out at -4.99 kcal/mol of atoms.

abc: 5.2071 5.2071 5.2071
angles: 60.00 60.00 60.00
Last column: nearest neighbours and their distance in Å.
Positions (direct):
La 0.0000 0.0000 0.0000  8 Hg 3.19
Hg 0.7500 0.7500 0.7500  4 La 3.19
Hg 0.2500 0.2500 0.2500  4 La 3.19

---

No. 6
# Ba2Cd4Ge3Bi

Crystalline Ba2Cd4Ge3Bi at its relaxed geometry (PBE-GGA, the Alexandria database).

The calculation puts the calculated density at 6.9 g cm⁻³. The space group is No. 115. The formation enthalpy at 0 K comes out at -7.81 kcal/mol of atoms.

abc: 4.8918 4.8918 11.6402
angles: 90.00 90.00 90.00
Last column: nearest neighbours and their distance in Å.
Positions (direct):
Ba 0.5000 0.0000 0.2428  8 Cd 3.71-3.74, 6 Ge 3.71-3.87, 2 Bi 3.87
Cd 0.5000 0.0000 0.6426  3 Ge 2.67-2.96, 2 Bi 2.96
Ba 0.0000 0.5000 0.7572  8 Cd 3.71-3.74, 6 Ge 3.71-3.87, 2 Bi 3.87
Cd 0.0000 0.0000 0.0000  4 Ge 2.86
Ge 0.5000 0.0000 0.8723  5 Cd 2.67-2.86
Cd 0.0000 0.5000 0.3574  3 Ge 2.67-2.96, 2 Bi 2.96
Cd 0.5000 0.5000 0.0000  4 Ge 2.86
Ge 0.0000 0.0000 0.5000  4 Cd 2.96
Bi 0.5000 0.5000 0.5000  4 Cd 2.96
Ge 0.0000 0.5000 0.1277  5 Cd 2.67-2.86

---

No. 7
# LiLaZn2Ga4

Crystalline LiLaZn2Ga4 at its relaxed geometry (PBE-GGA, the Alexandria database).

The calculation puts the calculated density at 6.1 g cm⁻³. The space group is No. 166. The formation enthalpy at 0 K comes out at -7.07 kcal/mol of atoms.

abc: 4.4372 4.4372 9.2049
angles: 76.05 76.05 60.00
Last column: nearest neighbours and their distance in Å.
Positions (direct):
Ga 0.6006 0.6006 0.1982  3 Zn 2.66, 1 Li 2.67
Zn 0.7602 0.7602 0.7194  7 Ga 2.66-2.88
Zn 0.2398 0.2398 0.2806  7 Ga 2.66-2.88
Li 0.5000 0.5000 0.5000  8 Ga 2.67-2.73
Ga 0.1311 0.1311 0.6066  3 Li 2.73, 4 Zn 2.75-2.88
La 0.0000 0.0000 0.0000  6 Ga 3.10
Ga 0.3994 0.3994 0.8018  3 Zn 2.66, 1 Li 2.67
Ga 0.8689 0.8689 0.3934  3 Li 2.73, 4 Zn 2.75-2.88

---

No. 8
# SrSbOs2

Crystalline SrSbOs2 at its relaxed geometry (PBE-GGA, the Alexandria database).

The calculation puts the calculated density at 11.8 g cm⁻³. The space group is No. 99. The formation energy (no corrections) comes out at 0.409 eV/atom.

abc: 3.1264 3.1264 8.4766
angles: 90.00 90.00 90.00
Last column: nearest neighbours and their distance in Å.
Positions (direct):
Sb 0.0000 0.0000 0.4471  4 Os 2.92, 4 Sb 3.13
Sr 0.5000 0.5000 0.7790  4 Sr 3.13, 4 Os 3.20
Os 0.0000 0.0000 0.0518  4 Os 2.64
Os 0.5000 0.5000 0.2221  4 Os 2.64, 4 Sb 2.92

---

Number 1: total magnetization 4.0 μB per formula unit. Number 2: total magnetization 0.3 μB per formula unit. Number 3: total magnetization 10.1 μB per formula unit. Number 4: total magnetization 0.0 μB per formula unit. Number 5: total magnetization 0.0 μB per formula unit. Number 6: total magnetization 0.0 μB per formula unit. Number 7: total magnetization 0.0 μB per formula unit. Number 8: total magnetization 0.0 μB per formula unit.